## Hf3ZrHg2N2 (PBE)

Data for a relaxed Hf3ZrHg2N2 crystal.

The structure in extended XYZ format:
```
8
Lattice="-1.1378 -2.2549 2.1181 3.2339 0.2120 -0.6020 1.3933 9.4536 10.8128" Properties=species:S:1:pos:R:3 pbc="T T T"
Hf 0.5821 3.9496 4.5174
Hf 2.5894 4.9043 6.6121
Hf 3.0534 8.0522 10.2126
Hg 2.1281 1.7744 3.0323
Hg 1.0446 7.0876 8.1066
N 1.0168 3.2989 6.6231
N 1.7070 7.9822 11.9797
Zr 0.1173 0.7961 0.9105
```

total magnetic moment = 0.00 μB per cell
space group = P3m1 (156)
final energy = -7.95 eV per atom
V = 16.97 Å³/atom
crystal system = trigonal